! PBE Y2FeSe, optimized geometry; values from VASP
! ρ: 6.02 g cm⁻³
! E_tot: -6.76 eV per atom
! D(E_F): 3.33 states/eV/cell
! raw formation energy: -0.54 eV/atom
&SYSTEM
  ibrav = 0, nat = 4, ntyp = 3
/
ATOMIC_SPECIES
Fe 55.84 Fe.upf
Se 78.96 Se.upf
Y 88.91 Y.upf
ATOMIC_POSITIONS angstrom
Fe 0.219 2.191 2.088
Se 1.992 -0.832 2.133
Y 0.000 0.000 0.000
Y -0.728 -0.377 3.405
CELL_PARAMETERS angstrom
-2.501 2.646 3.360
1.045 -3.400 3.449
2.939 1.736 0.816